# 1
InPSeBr2 | SCAN | PBEsol geometry

Cell: 5.2252 5.2252 5.4312 Å, 90.00 90.00 90.00°
Last column: nearest neighbours and their distance in Å.
Positions (direct):
Br: 0.5000 0.0000 0.0000  2 In 2.61
In: 0.0000 0.0000 0.0000  4 Br 2.61, 2 Se 2.72
P: 0.5000 0.5000 0.5000  4 Se 3.69, 8 Br 3.77
Br: 0.0000 0.5000 0.0000  2 In 2.61
Se: 0.0000 0.0000 0.5000  2 In 2.72

Computed properties:
Uncorrected formation energy ... 0.367 eV per atom
Space group ... No. 123

***

# 2
Mg2Ir3 | SCAN | PBEsol geometry

Cell: 5.1699 8.4808 9.6277 Å, 96.70 105.57 90.00°
Last column: nearest neighbours and their distance in Å.
Positions (direct):
Mg: 0.2910 0.4443 0.5820  12 Ir 2.91-3.06, 4 Mg 3.04-3.20
Mg: 0.5548 0.3840 0.1096  10 Ir 2.92-3.03, 4 Mg 3.00-3.13
Mg: 0.7190 0.9161 0.4380  4 Mg 2.80-3.10, 10 Ir 2.81-3.11
Mg: 0.0213 0.1810 0.0426  8 Ir 2.76-3.02, 1 Mg 3.08
Mg: 0.4452 0.6160 0.8904  10 Ir 2.92-3.03, 4 Mg 3.00-3.13
Ir: 0.9182 0.2296 0.3371  5 Ir 2.50-2.59, 1 Mg 2.75
Ir: 0.8680 0.0279 0.7359  5 Ir 2.56-2.68, 3 Mg 2.80-2.81
Ir: 0.1320 0.9721 0.2641  5 Ir 2.56-2.68, 3 Mg 2.80-2.81
Ir: 0.7847 0.2588 0.5694  6 Ir 2.50-2.68
Ir: 0.5811 0.7704 0.6629  5 Ir 2.50-2.59, 1 Mg 2.75
Ir: 0.2153 0.7412 0.4306  6 Ir 2.50-2.68
Ir: 0.1748 0.2955 0.8189  5 Ir 2.43-2.68
Ir: 0.8252 0.7045 0.1811  5 Ir 2.43-2.68
Ir: 0.3559 0.7045 0.1811  5 Ir 2.43-2.68
Ir: 0.6441 0.2955 0.8189  5 Ir 2.43-2.68
Ir: 0.0000 0.5000 0.0000  6 Ir 2.57-2.65, 2 Mg 2.78
Ir: 0.0818 0.7704 0.6629  5 Ir 2.50-2.59, 1 Mg 2.75
Ir: 0.4189 0.2296 0.3371  5 Ir 2.50-2.59, 1 Mg 2.75
Mg: 0.4227 0.0018 0.8453  6 Ir 2.75-2.81, 2 Mg 2.80-2.87
Ir: 0.1357 0.4666 0.2713  6 Ir 2.53-2.66
Mg: 0.7090 0.5557 0.4180  12 Ir 2.91-3.06, 4 Mg 3.04-3.20
Mg: 0.2810 0.0839 0.5620  4 Mg 2.80-3.10, 10 Ir 2.81-3.11
Mg: 0.9787 0.8190 0.9574  8 Ir 2.76-3.02, 1 Mg 3.08
Ir: 0.8643 0.5334 0.7287  6 Ir 2.53-2.66
Mg: 0.5773 0.9982 0.1547  6 Ir 2.75-2.81, 2 Mg 2.80-2.87

Computed properties:
E_form ... -0.492 eV/atom
Space group ... No. 12

***

# 3
ZrScAl2 | SCAN | PBEsol geometry

Cell: 3.0149 3.0149 8.2676 Å, 90.00 90.00 90.00°
Last column: nearest neighbours and their distance in Å.
Positions (direct):
Al: 0.0000 0.0000 0.7493  4 Zr 2.97, 4 Sc 2.97, 4 Al 3.01
Al: 0.0000 0.0000 0.2507  4 Zr 2.97, 4 Sc 2.97, 4 Al 3.01
Zr: 0.5000 0.5000 0.5000  8 Al 2.97, 4 Zr 3.01
Sc: 0.5000 0.5000 0.0000  8 Al 2.97, 4 Sc 3.01

Computed properties:
E_form ... -0.466 eV/atom
Space group ... No. 123

***

# 4
K2BaSc | SCAN | PBEsol geometry

Cell: 4.1126 6.4263 7.1285 Å, 90.00 90.00 90.00°
Last column: nearest neighbours and their distance in Å.
Positions (direct):
Sc: 0.5000 0.0000 0.5000  4 Ba 3.81, 2 Sc 4.11, 4 K 4.11
K: 0.0000 0.0000 0.0000  6 K 3.81-4.11, 4 Sc 4.11
Ba: 0.0000 0.5000 0.5000  4 Sc 3.81, 2 Ba 4.11, 4 K 4.11
K: 0.5000 0.5000 0.0000  6 K 3.81-4.11, 4 Ba 4.11

Computed properties:
E_form ... 0.491 eV/atom
Space group ... No. 47

***

# 5
InCoMo3 | SCAN | PBEsol geometry

Cell: 4.7742 4.7742 4.7742 Å, 90.00 90.00 90.00°
Last column: nearest neighbours and their distance in Å.
Positions (direct):
In: 0.0000 0.0000 0.0000  6 Mo 2.39
Mo: 0.5000 0.0000 0.0000  2 In 2.39
Mo: 0.0000 0.0000 0.5000  2 In 2.39
Co: 0.5000 0.5000 0.5000  12 Mo 3.38
Mo: 0.0000 0.5000 0.0000  2 In 2.39

Computed properties:
E_form ... 2.825 eV/atom
Space group ... No. 221

***

# 6
Tl2Te | SCAN | PBEsol geometry

Cell: 4.2467 6.7450 8.0861 Å, 118.50 90.00 108.35°
Last column: nearest neighbours and their distance in Å.
Positions (direct):
Te: 0.9390 0.8780 0.2225  7 Tl 3.15-3.43
Tl: 0.6418 0.2836 0.5278  4 Te 3.30-3.43, 6 Tl 3.43-3.69
Te: 0.0610 0.1220 0.7775  7 Tl 3.15-3.43
Tl: 0.3582 0.7164 0.4722  4 Te 3.30-3.43, 6 Tl 3.43-3.69
Tl: 0.6514 0.3028 0.1089  3 Te 3.15-3.32, 4 Tl 3.36-3.51
Tl: 0.3486 0.6972 0.8911  3 Te 3.15-3.32, 4 Tl 3.36-3.51

Computed properties:
Uncorrected formation energy ... -0.242 eV per atom
Space group ... No. 12

***

# 7
LaPbCl2 | SCAN | PBEsol geometry

Cell: 3.7474 5.6178 6.1835 Å, 112.29 90.00 109.48°
Last column: nearest neighbours and their distance in Å.
Positions (direct):
La: 0.4810 0.9621 0.3154  4 Cl 2.82-2.88
Cl: 0.0194 0.0388 0.0060  1 Pb 2.79, 2 La 2.82
Cl: 0.7977 0.5955 0.3966  3 La 2.88-3.19
Pb: 0.2018 0.4036 0.7820  1 Cl 2.79

Computed properties:
Uncorrected formation energy ... -1.567 eV per atom
Space group ... No. 8

***

# 8
Li2Hf2Se | SCAN | PBEsol geometry

Cell: 4.8516 5.9593 5.9593 Å, 90.00 90.00 90.00°
Last column: nearest neighbours and their distance in Å.
Positions (direct):
Hf: 0.5000 0.3279 0.1721  5 Hf 2.90-3.12, 6 Li 2.92-3.05
Hf: 0.5000 0.6721 0.8279  5 Hf 2.90-3.12, 6 Li 2.92-3.05
Li: 0.0000 0.6349 0.1349  1 Li 2.27, 2 Se 2.32
Li: 0.0000 0.8651 0.6349  1 Li 2.27, 2 Se 2.32
Hf: 0.5000 0.1721 0.6721  5 Hf 2.90-3.12, 6 Li 2.92-3.05
Li: 0.0000 0.1349 0.3651  1 Li 2.27, 2 Se 2.32
Se: 0.0000 0.5000 0.5000  4 Li 2.32
Hf: 0.5000 0.8279 0.3279  5 Hf 2.90-3.12, 6 Li 2.92-3.05
Se: 0.0000 0.0000 0.0000  4 Li 2.32
Li: 0.0000 0.3651 0.8651  1 Li 2.27, 2 Se 2.32

Computed properties:
Uncorrected formation energy ... -0.068 eV per atom
Space group ... No. 127